(1)
First-principles (PBE) data for CuSi2Rh after structural relaxation, as listed in the Alexandria database.

As for the size of the total moment: 0.00 μB/cell. The value obtained for the density of states at the Fermi level is 0.572 states/eV/cell. Its formation energy from raw total energies is -0.15 eV per atom.

Structure (POSCAR):
```
CuSi2Rh
1.0
3.496 0.000 0.000
0.000 3.856 0.000
0.000 0.000 3.856
Si Rh Cu
2 1 1
Direct
0.000 0.500 0.500
0.000 0.000 0.000
0.500 0.000 0.500
0.500 0.500 0.000
```

(2)
First-principles (PBE) data for Ce2MgIr2 after structural relaxation, as listed in the Alexandria database.

As for the size of the total moment: 0.00 μB/cell. For the total energy, the calculation gives -6.86 eV per atom. The value obtained for the density of states at the Fermi level is 11.853 states/eV/cell.

Structure (POSCAR):
```
Ce2MgIr2
1.0
5.694 0.000 0.000
0.000 7.846 0.000
-2.847 -3.923 5.192
Ce Ir Mg
4 4 2
Direct
0.346 0.997 0.693
0.154 0.304 0.307
0.654 0.003 0.307
0.846 0.696 0.693
0.606 0.333 0.213
0.894 0.120 0.787
0.394 0.667 0.787
0.106 0.880 0.213
0.750 0.500 0.000
0.250 0.500 0.000
```

(3)
First-principles (PBE) data for Zr2CdCl after structural relaxation, as listed in the Alexandria database.

As for the size of the total moment: 0.00 μB/cell. The calculation puts the energy above the most stable polymorph in this dataset at 631 meV/atom. The value obtained for the density of states at the Fermi level is 5.689 states/eV/cell. Its formation energy from raw total energies is 0.11 eV per atom.

Structure (POSCAR):
```
Zr2CdCl
1.0
-1.984 -5.492 -0.240
1.932 -3.599 -4.181
2.212 3.679 3.966
Cd Zr Cl
1 2 1
Direct
0.500 0.500 0.000
0.250 0.750 0.500
0.000 0.000 0.000
0.750 0.250 0.500
```

(4)
First-principles (PBE) data for Ce3Dy2ErSb6 after structural relaxation, as listed in the Alexandria database.

As for the size of the total moment: 2.41 μB/cell. The value obtained for the density of states at the Fermi level is 19.803 states/eV/cell. Its formation energy from raw total energies is -1.08 eV per atom.

Structure (POSCAR):
```
Ce3Dy2ErSb6
1.0
-7.241 -1.093 2.344
4.634 -6.035 -1.106
3.040 2.779 6.481
Sb Ce Dy Er
6 3 2 1
Direct
0.413 0.081 0.242
0.251 0.251 0.757
0.749 0.749 0.243
0.587 0.919 0.758
0.081 0.413 0.242
0.919 0.587 0.758
0.500 0.500 0.500
0.167 0.833 0.500
0.833 0.167 0.500
0.334 0.666 0.000
0.666 0.334 0.000
0.000 0.000 0.000
```

(5)
First-principles (PBE) data for TeHPd3 after structural relaxation, as listed in the Alexandria database.

As for the size of the total moment: 0.91 μB/cell. The calculation puts the energy above the most stable polymorph in this dataset at 1090 meV/atom. The value obtained for the density of states at the Fermi level is 5.942 states/eV/cell.

Structure (POSCAR):
```
TeHPd3
1.0
-0.372 -4.750 -1.616
2.195 -1.612 4.231
-4.512 -0.392 2.192
Pd Te H
3 1 1
Direct
0.000 0.000 0.500
0.500 0.000 0.000
0.000 0.500 0.000
0.000 0.000 0.000
0.500 0.500 0.500
```

(6)
First-principles (PBE) data for AcSmSnIr after structural relaxation, as listed in the Alexandria database.

As for the size of the total moment: 0.00 μB/cell. For the total energy, the calculation gives -5.84 eV per atom. The value obtained for the density of states at the Fermi level is 3.239 states/eV/cell.

Structure (POSCAR):
```
AcSmSnIr
1.0
-3.038 4.303 1.069
-5.278 -0.577 0.835
-2.033 0.697 4.927
Ac Sm Ir Sn
1 1 1 1
Direct
0.000 0.000 0.000
0.500 0.500 0.500
0.750 0.750 0.750
0.250 0.250 0.250
```

(7)
First-principles (PBE) data for BC2 after structural relaxation, as listed in the Alexandria database.

As for the size of the total moment: 0.00 μB/cell. The calculation puts the energy above the most stable polymorph in this dataset at 133 meV/atom. The value obtained for the density of states at the Fermi level is 2.273 states/eV/cell.

Structure (POSCAR):
```
BC2
1.0
2.602 0.000 0.000
-1.301 2.253 0.000
0.000 0.000 13.009
C B
8 4
Direct
0.667 0.333 0.193
0.667 0.333 0.836
0.333 0.667 0.154
0.333 0.667 0.035
0.667 0.333 0.718
0.000 0.000 0.877
0.000 0.000 0.995
0.333 0.667 0.535
0.000 0.000 0.387
0.333 0.667 0.678
0.667 0.333 0.316
0.000 0.000 0.526
```

(8)
First-principles (PBE) data for AcMg2Zn after structural relaxation, as listed in the Alexandria database.

As for the size of the total moment: 0.00 μB/cell. The calculation puts the energy above the most stable polymorph in this dataset at 38 meV/atom. The value obtained for the density of states at the Fermi level is 3.931 states/eV/cell.

Structure (POSCAR):
```
AcMg2Zn
1.0
5.107 0.000 0.000
0.000 5.107 0.000
-2.554 -2.554 8.436
Mg Zn Ac
4 2 2
Direct
0.000 0.500 0.000
0.640 0.640 0.281
0.500 0.000 0.000
0.360 0.360 0.719
0.750 0.250 0.500
0.250 0.750 0.500
0.145 0.145 0.290
0.855 0.855 0.710
```

(9)
First-principles (PBE) data for BaP2O2 after structural relaxation, as listed in the Alexandria database.

As for the size of the total moment: 0.37 μB/cell. The calculation puts the energy above the most stable polymorph in this dataset at 285 meV/atom. The value obtained for the density of states at the Fermi level is 3.900 states/eV/cell. Its formation energy from raw total energies is -0.48 eV per atom.

Structure (POSCAR):
```
BaP2O2
1.0
3.835 0.000 0.000
0.000 3.835 0.000
0.000 0.000 6.726
P Ba O
2 1 2
Direct
0.500 0.000 0.000
0.000 0.500 0.000
0.500 0.500 0.500
0.000 0.000 0.500
0.000 0.000 0.000
```